Record 1
Density functional theory data (PBEsol) for a relaxed structure of MgCoRe2.

Unit cell a=3.1660 b=4.3189 c=4.8483 alpha=116.45 beta=109.06 gamma=90.00
Site moments in Bohr magnetons follow the coordinates.
Fractional positions:
Co 0.4940 0.4940 0.9881  0.97
Mg 0.2404 0.7404 0.4808  0.00
Re 0.0114 0.0114 0.0228  0.07
Re 0.7541 0.2541 0.5083  0.05

Results
Calculated total energy, eV per atom: -8.694
M_tot, Bohr magnetons per cell: 1.078
Space-group type: Imm2, No. 44
Energy relative to the elements, eV/atom: 0.335
Density of states at the Fermi level, states/eV/atom: 0.99

***

Record 2
Density functional theory data (PBEsol) for a relaxed structure of MgCo2Re.

Unit cell a=2.6465 b=4.3723 c=4.3723 alpha=100.78 beta=90.00 gamma=90.00
Fractional positions:
Co 0.0000 0.5000 0.0000
Co 0.0000 0.0000 0.5000
Mg 0.5000 0.0000 0.0000
Re 0.5000 0.5000 0.5000

Results
Calculated total energy, eV per atom: -7.475
M_tot, Bohr magnetons per cell: 0.000
Space-group type: Cmmm, No. 65
Energy relative to the elements, eV/atom: 0.156
Density of states at the Fermi level, states/eV/atom: 0.85

***

Record 3
Density functional theory data (PBEsol) for a relaxed structure of Mg2CoRe2.

Unit cell a=3.3906 b=3.3906 c=7.2977 alpha=103.43 beta=103.43 gamma=90.00
Site moments in Bohr magnetons follow the coordinates.
Fractional positions:
Re 0.4148 0.4148 0.8296  0.10
Re 0.5852 0.5852 0.1704  0.10
Mg 0.2500 0.7500 0.5000  0.00
Mg 0.7500 0.2500 0.5000  0.00
Co 0.0000 0.0000 0.0000  1.37

Results
Calculated total energy, eV per atom: -6.372
M_tot, Bohr magnetons per cell: 1.627
Space-group type: I4/mmm, No. 139
Energy relative to the elements, eV/atom: 1.195
Density of states at the Fermi level, states/eV/atom: 1.11